# 1
# PBE Ce3ReC3, optimized geometry
# **ΔE_f**: -0.177 eV per atom
# **ΔE to the lowest computed polymorph**: 75.7 meV/atom
data_Ce3ReC3
_cell_length_a 7.6383
_cell_length_b 7.6383
_cell_length_c 5.1221
_cell_angle_alpha 90.00
_cell_angle_beta 90.00
_cell_angle_gamma 120.00
_space_group_name_H-M_alt 'P 63/m'
_space_group_IT_number 176
_space_group_name_Hall '-P 6c'
loop_
_atom_site_label
_atom_site_type_symbol
_atom_site_fract_x
_atom_site_fract_y
_atom_site_fract_z
_atom_site_occupancy
Ce1 Ce 0.0946 0.3731 0.2500 1
Re1 Re 0.3333 0.6667 0.7500 1
C1 C 0.0875 0.3995 0.7500 1

=====

# 2
# PBE CeRe2C, optimized geometry
# **ΔE_f**: 0.266 eV per atom
# **ΔE to the lowest computed polymorph**: 0.0 meV/atom
data_CeRe2C
_cell_length_a 2.997
_cell_length_b 10.647
_cell_length_c 7.954
_cell_angle_alpha 90.00
_cell_angle_beta 90.00
_cell_angle_gamma 90.00
_space_group_name_H-M_alt 'C m c m'
_space_group_IT_number 63
_space_group_name_Hall '-C 2c 2'
loop_
_atom_site_label
_atom_site_type_symbol
_atom_site_fract_x
_atom_site_fract_y
_atom_site_fract_z
_atom_site_occupancy
Ce1 Ce 0.000 0.071 0.250 1
Re1 Re 0.000 0.341 0.070 1
C1 C 0.000 0.185 0.750 1

=====

| no. | final energy (eV/atom) |
| --- | --- |
| 1 | -8.45 |
| 2 | -9.75 |